! PBE Sc2GaP, relaxed; values from VASP
&SYSTEM
  ibrav = 0, nat = 4, ntyp = 3
/
ATOMIC_SPECIES
Sc 44.96 Sc.upf
P 30.97 P.upf
Ga 69.72 Ga.upf
CELL_PARAMETERS angstrom
-2.573 0.640 3.878
-3.514 3.117 -0.001
-4.455 -1.483 0.134
ATOMIC_POSITIONS crystal
Sc 0.250 0.250 0.250
Sc 0.750 0.750 0.750
P 0.000 0.000 0.000
Ga 0.500 0.500 0.500
! Formation enthalpy at 0 K ... -0.6016 eV per atom
! E_tot ... -23.5 eV/cell
! Calculated volume ... 18.3 A^3/atom